No. 1
Computed, not measured: a relaxed structure of ZrTeSe2N at the PBE level of DFT.

Cell lengths 5.3908, 5.3908, 3.9128 Å; angles 90.00, 90.00, 90.00 degrees
With the nearest neighbours (Å) after each atom.
Sites, in units of the cell vectors:
Te: 0.0000 0.0000 0.0000  2 N 1.96
Se: 0.0000 0.5000 0.0000  2 Te 2.70
Se: 0.5000 0.0000 0.0000  2 Te 2.70
Zr: 0.5000 0.5000 0.5000  8 Se 3.33
N: 0.0000 0.0000 0.5000  2 Te 1.96

Summary:
size of the total moment	1.142	Bohr magnetons per cell
uncorrected energy	-4.726	eV/atom
Fermi-level density of states	0.813	states/eV per atom
energy relative to the elements, uncorrected	64.8	kJ per mole of atoms
offset from the most stable computed form	0.669	eV/atom



No. 2
Computed, not measured: a relaxed structure of YH3Rh at the PBE level of DFT.

Cell lengths 3.3954, 3.3954, 10.4555 Å; angles 90.00, 90.00, 120.00 degrees
With the nearest neighbours (Å) after each atom.
Sites, in units of the cell vectors:
Y: 0.3333 0.6667 0.7500  3 H 1.96
Y: 0.6667 0.3333 0.2500  3 H 1.96
H: 0.0000 0.0000 0.2500  3 Y 1.96
H: 0.0000 0.0000 0.7500  3 Y 1.96
H: 0.3333 0.6667 0.9694  3 Rh 1.99, 3 H 2.06
H: 0.3333 0.6667 0.5306  3 Rh 1.99, 3 H 2.06
H: 0.6667 0.3333 0.4694  3 Rh 1.99, 3 H 2.06
H: 0.6667 0.3333 0.0306  3 Rh 1.99, 3 H 2.06
Rh: 0.0000 0.0000 0.0000  6 H 1.99
Rh: 0.0000 0.0000 0.5000  6 H 1.99

Summary:
size of the total moment	1.361	Bohr magnetons per cell
uncorrected energy	-4.856	eV/atom
Fermi-level density of states	0.431	states/eV per atom



No. 3
Computed, not measured: a relaxed structure of LaGa3NiPd at the PBE level of DFT.

Cell lengths 6.0006, 6.1795, 6.8300 Å; angles 116.90, 90.00, 90.00 degrees
With the nearest neighbours (Å) after each atom.
Sites, in units of the cell vectors:
La: 0.7500 0.2694 0.5388  1 Ni 2.60
La: 0.2500 0.7306 0.4612  1 Ni 2.60
Ga: 0.2500 0.1443 0.2886  1 Ni 2.44, 1 Pd 2.55
Ga: 0.0000 0.2866 0.0000  2 Ni 2.42, 1 Ga 2.64, 2 Pd 2.68
Ga: 0.5000 0.7134 0.0000  2 Ni 2.42, 1 Ga 2.64, 2 Pd 2.68
Ga: 0.5000 0.2866 0.0000  2 Ni 2.42, 1 Ga 2.64, 2 Pd 2.68
Ga: 0.0000 0.7134 0.0000  2 Ni 2.42, 1 Ga 2.64, 2 Pd 2.68
Ga: 0.7500 0.8557 0.7114  1 Ni 2.44, 1 Pd 2.55
Ni: 0.2500 0.9437 0.8873  5 Ga 2.42-2.44, 1 La 2.60
Ni: 0.7500 0.0563 0.1127  5 Ga 2.42-2.44, 1 La 2.60
Pd: 0.2500 0.3536 0.7071  5 Ga 2.55-2.68
Pd: 0.7500 0.6464 0.2929  5 Ga 2.55-2.68

Summary:
size of the total moment	0.000	Bohr magnetons per cell
uncorrected energy	-4.672	eV/atom
Fermi-level density of states	0.442	states/eV per atom
energy of formation	-0.51	eV/atom



No. 4
Computed, not measured: a relaxed structure of MnAlAs at the PBE level of DFT.

Cell lengths 4.5992, 4.5993, 3.2097 Å; angles 69.58, 69.58, 40.85 degrees
With the nearest neighbours (Å) after each atom.
Sites, in units of the cell vectors:
As: 0.3209 0.3209 0.6791  5 Al 2.54-2.70, 5 Mn 2.55-2.84
Mn: 0.6760 0.6760 0.3240  5 As 2.55-2.84, 5 Al 2.62-2.66
Al: 0.0031 0.0031 0.9969  5 As 2.54-2.70, 5 Mn 2.62-2.66

Summary:
size of the total moment	1.025	Bohr magnetons per cell
uncorrected energy	-5.974	eV/atom
Fermi-level density of states	0.488	states/eV per atom
energy of formation	-0.12	eV/atom
offset from the most stable computed form	0.000	eV/atom



No. 5
Computed, not measured: a relaxed structure of HgAuI2 at the PBE level of DFT.

Cell lengths 5.4753, 5.4753, 5.4753 Å; angles 60.00, 60.00, 60.00 degrees
With the nearest neighbours (Å) after each atom.
Sites, in units of the cell vectors:
I: 0.2500 0.2500 0.2500  4 Hg 3.35, 4 Au 3.35
I: 0.7500 0.7500 0.7500  4 Hg 3.35, 4 Au 3.35
Au: 0.0000 0.0000 0.0000  8 I 3.35
Hg: 0.5000 0.5000 0.5000  8 I 3.35

Summary:
size of the total moment	0.000	Bohr magnetons per cell
uncorrected energy	-1.312	eV/atom
Fermi-level density of states	0.673	states/eV per atom
energy relative to the elements, uncorrected	34.5	kJ per mole of atoms
offset from the most stable computed form	0.318	eV/atom



No. 6
Computed, not measured: a relaxed structure of NaTeSeO6 at the PBE level of DFT.

Cell lengths 5.2017, 5.2017, 10.6190 Å; angles 90.00, 90.00, 120.00 degrees
With the nearest neighbours (Å) after each atom.
Sites, in units of the cell vectors:
Na: 0.0000 0.0000 0.0000  6 O 2.51
Na: 0.0000 0.0000 0.5000  6 O 2.51
Te: 0.6667 0.3333 0.2500  6 O 1.97
Te: 0.3333 0.6667 0.7500  6 O 1.97
Se: 0.3333 0.6667 0.2500  6 O 1.96
Se: 0.6667 0.3333 0.7500  6 O 1.96
O: 0.6212 0.6219 0.1463  1 Se 1.96, 1 Te 1.97
O: 0.0007 0.3788 0.1463  1 Se 1.96, 1 Te 1.97
O: 0.3788 0.0007 0.6463  1 Se 1.96, 1 Te 1.97
O: 0.9993 0.6212 0.8537  1 Se 1.96, 1 Te 1.97
O: 0.3781 0.3788 0.3537  1 Se 1.96, 1 Te 1.97
O: 0.0007 0.6219 0.3537  1 Se 1.96, 1 Te 1.97
O: 0.6219 0.0007 0.8537  1 Se 1.96, 1 Te 1.97
O: 0.6212 0.9993 0.3537  1 Se 1.96, 1 Te 1.97
O: 0.9993 0.3781 0.6463  1 Se 1.96, 1 Te 1.97
O: 0.3781 0.9993 0.1463  1 Se 1.96, 1 Te 1.97
O: 0.6219 0.6212 0.6463  1 Se 1.96, 1 Te 1.97
O: 0.3788 0.3781 0.8537  1 Se 1.96, 1 Te 1.97

Summary:
size of the total moment	1.025	Bohr magnetons per cell
uncorrected energy	-5.092	eV/atom
Fermi-level density of states	0.414	states/eV per atom
energy relative to the elements, uncorrected	-87.2	kJ per mole of atoms



No. 7
Computed, not measured: a relaxed structure of Pr3Ni3Pd at the PBE level of DFT.

Cell lengths 4.1242, 5.5033, 13.9391 Å; angles 90.00, 90.00, 112.01 degrees
With the nearest neighbours (Å) after each atom.
Sites, in units of the cell vectors:
Pr: 0.1927 0.3854 0.9001  6 Ni 2.96-3.04, 2 Pd 3.17
Pr: 0.8073 0.6146 0.0999  6 Ni 2.96-3.04, 2 Pd 3.17
Pr: 0.1927 0.3854 0.5999  6 Ni 2.96-3.04, 2 Pd 3.17
Pr: 0.8073 0.6146 0.4001  6 Ni 2.96-3.04, 2 Pd 3.17
Pr: 0.4752 0.9503 0.7500  7 Ni 2.95-3.02
Pr: 0.5248 0.0497 0.2500  7 Ni 2.95-3.02
Ni: 0.9030 0.8060 0.8994  1 Ni 2.50, 2 Pd 2.68
Ni: 0.0970 0.1940 0.1006  1 Ni 2.50, 2 Pd 2.68
Ni: 0.9030 0.8060 0.6006  1 Ni 2.50, 2 Pd 2.68
Ni: 0.0970 0.1940 0.3994  1 Ni 2.50, 2 Pd 2.68
Ni: 0.7683 0.5365 0.7500  2 Ni 2.50
Ni: 0.2317 0.4635 0.2500  2 Ni 2.50
Pd: 0.5000 0.0000 0.0000  4 Ni 2.68
Pd: 0.5000 0.0000 0.5000  4 Ni 2.68

Summary:
size of the total moment	0.000	Bohr magnetons per cell
uncorrected energy	-5.670	eV/atom
Fermi-level density of states	0.628	states/eV per atom
energy of formation	-0.40	eV/atom



No. 8
Computed, not measured: a relaxed structure of Tb7SmDy5 at the PBE level of DFT.

Cell lengths 6.6728, 8.7021, 8.7021 Å; angles 79.75, 67.46, 67.46 degrees
With the nearest neighbours (Å) after each atom.
Sites, in units of the cell vectors:
Tb: 0.5755 0.4245 0.4245  7 Tb 3.53-3.90, 4 Dy 3.74
Tb: 0.2701 0.7299 0.7299  6 Dy 3.34-3.51, 1 Sm 3.52, 1 Tb 3.53
Tb: 0.0186 0.3108 0.6521  5 Dy 3.45-3.47, 4 Tb 3.45-3.81, 1 Sm 3.73
Tb: 0.0186 0.6521 0.3108  5 Dy 3.45-3.47, 4 Tb 3.45-3.81, 1 Sm 3.73
Tb: 0.2677 0.2323 0.2323  4 Dy 3.11, 4 Tb 3.45-3.48
Tb: 0.5197 0.8102 0.1505  5 Dy 3.46-3.47, 5 Tb 3.48-3.80
Tb: 0.5197 0.1505 0.8102  5 Dy 3.46-3.47, 5 Tb 3.48-3.80
Sm: 0.9655 0.0345 0.0345  7 Tb 3.52-3.89, 4 Dy 3.76
Dy: 0.5350 0.0022 0.4606  5 Tb 3.11-3.47, 2 Dy 3.12-3.40
Dy: 0.0022 0.0022 0.4606  5 Tb 3.11-3.47, 2 Dy 3.12-3.40
Dy: 0.5350 0.4606 0.0022  5 Tb 3.11-3.47, 2 Dy 3.12-3.40
Dy: 0.0022 0.4606 0.0022  5 Tb 3.11-3.47, 2 Dy 3.12-3.40
Dy: 0.7703 0.7297 0.7297  6 Tb 3.34-3.47, 4 Dy 3.40

Summary:
size of the total moment	0.001	Bohr magnetons per cell
uncorrected energy	-4.378	eV/atom
Fermi-level density of states	1.815	states/eV per atom
energy of formation	0.25	eV/atom